Record 1
Material: Ac8Ir3I4F
Method: DFT, PBE
State: optimized geometry

The total energy comes out at -5.425 eV/atom.

Geometry as CIF:
```
data_Ac8Ir3I4F
_chemical_formula_sum 'Ac16 Ir6 I8 F2'
_cell_length_a 15.172
_cell_length_b 8.743
_cell_length_c 10.066
_cell_angle_alpha 90.00
_cell_angle_beta 120.16
_cell_angle_gamma 90.00
_space_group_name_H-M_alt 'C 1 2/m 1'
_space_group_IT_number 12
loop_
_space_group_symop_operation_xyz
'x,y,z'
'-x,-y,-z'
'-x,y,-z'
'x,-y,z'
'x+1/2,y+1/2,z'
'-x+1/2,-y+1/2,-z'
'-x+1/2,y+1/2,-z'
'x+1/2,-y+1/2,z'
loop_
_atom_site_label
_atom_site_fract_x
_atom_site_fract_y
_atom_site_fract_z
Ac1 0.024 0.241 0.314
Ac2 0.227 0.000 0.682
Ac3 0.235 0.500 0.687
Ir1 0.000 0.000 0.500
Ir2 0.250 0.250 0.500
I1 0.000 0.000 0.000
I2 0.000 0.500 0.000
I3 0.250 0.250 0.000
F1 0.000 0.500 0.500
```


Record 2
Material: Ac2I2NF
Method: DFT, PBE
State: optimized geometry

The total energy comes out at -5.795 eV/atom.

Geometry as CIF:
```
data_Ac2I2NF
_chemical_formula_sum 'Ac8 I8 N4 F4'
_cell_length_a 6.230
_cell_length_b 19.588
_cell_length_c 6.196
_cell_angle_alpha 90.00
_cell_angle_beta 90.00
_cell_angle_gamma 90.00
_space_group_name_H-M_alt 'I b a m'
_space_group_IT_number 72
_space_group_name_Hall '-I 2 2c'
loop_
_atom_site_label
_atom_site_fract_x
_atom_site_fract_y
_atom_site_fract_z
Ac1 0.215 0.067 0.000
I1 0.244 0.338 0.000
N1 0.000 0.000 0.250
F1 0.000 0.500 0.250
```


Record 3
Material: Ac2IO2F2
Method: DFT, PBE
State: optimized geometry

The total energy comes out at -6.273 eV/atom.

Geometry as CIF:
```
data_Ac2IO2F2
_chemical_formula_sum 'Ac6 I3 O6 F6'
_cell_length_a 3.9792
_cell_length_b 3.9792
_cell_length_c 40.4878
_cell_angle_alpha 90.00
_cell_angle_beta 90.00
_cell_angle_gamma 120.00
_space_group_name_H-M_alt 'R -3 m'
_space_group_IT_number 166
_space_group_name_Hall '-R 3 2"'
loop_
_atom_site_label
_atom_site_fract_x
_atom_site_fract_y
_atom_site_fract_z
Ac1 0.0000 0.0000 0.0603
I1 0.0000 0.0000 0.5000
O1 0.0000 0.0000 0.3750
F1 0.0000 0.0000 0.2441
```


Record 4
Material: Ac3IO6F2
Method: DFT, PBE
State: optimized geometry

The total energy comes out at -6.387 eV/atom.

Geometry as CIF:
```
data_Ac3IO6F2
_chemical_formula_sum 'Ac6 I2 O12 F4'
_cell_length_a 12.464
_cell_length_b 7.192
_cell_length_c 5.203
_cell_angle_alpha 90.00
_cell_angle_beta 93.30
_cell_angle_gamma 90.00
_space_group_name_H-M_alt 'C 1 2/m 1'
_space_group_IT_number 12
loop_
_space_group_symop_operation_xyz
'x,y,z'
'-x,-y,-z'
'-x,y,-z'
'x,-y,z'
'x+1/2,y+1/2,z'
'-x+1/2,-y+1/2,-z'
'-x+1/2,y+1/2,-z'
'x+1/2,-y+1/2,z'
loop_
_atom_site_label
_atom_site_fract_x
_atom_site_fract_y
_atom_site_fract_z
Ac1 0.000 0.000 0.000
Ac2 0.250 0.250 0.500
I1 0.000 0.500 0.500
O1 0.068 0.266 0.289
O2 0.153 0.500 0.699
F1 0.176 0.000 0.783
```


Record 5
Material: Ac4OsI2F
Method: DFT, PBE
State: optimized geometry

The total energy comes out at -5.218 eV/atom.

Geometry as CIF:
```
data_Ac4OsI2F
_chemical_formula_sum 'Ac4 Os1 I2 F1'
_cell_length_a 7.247
_cell_length_b 4.357
_cell_length_c 9.059
_cell_angle_alpha 90.00
_cell_angle_beta 105.94
_cell_angle_gamma 90.00
_space_group_name_H-M_alt 'P 1 2/m 1'
_space_group_IT_number 10
loop_
_space_group_symop_operation_xyz
'x,y,z'
'-x,-y,-z'
'-x,y,-z'
'x,-y,z'
loop_
_atom_site_label
_atom_site_fract_x
_atom_site_fract_y
_atom_site_fract_z
Ac1 0.229 0.000 0.183
Ac2 0.261 0.500 0.807
Os1 0.000 0.500 0.000
I1 0.000 0.000 0.500
I2 0.500 0.500 0.500
F1 0.500 0.000 0.000
```


Record 6
Material: Ac6Os2I3F
Method: DFT, PBE
State: optimized geometry

The total energy comes out at -5.500 eV/atom.

Geometry as CIF:
```
data_Ac6Os2I3F
_chemical_formula_sum 'Ac12 Os4 I6 F2'
_cell_length_a 7.519
_cell_length_b 13.051
_cell_length_c 9.031
_cell_angle_alpha 90.00
_cell_angle_beta 106.13
_cell_angle_gamma 90.00
_space_group_name_H-M_alt 'C 1 2/m 1'
_space_group_IT_number 12
loop_
_space_group_symop_operation_xyz
'x,y,z'
'-x,-y,-z'
'-x,y,-z'
'x,-y,z'
'x+1/2,y+1/2,z'
'-x+1/2,-y+1/2,-z'
'-x+1/2,y+1/2,-z'
'x+1/2,-y+1/2,z'
loop_
_atom_site_label
_atom_site_fract_x
_atom_site_fract_y
_atom_site_fract_z
Ac1 0.217 0.000 0.185
Ac2 0.235 0.327 0.185
Os1 0.000 0.166 0.000
I1 0.000 0.000 0.500
I2 0.000 0.330 0.500
F1 0.000 0.500 0.000
```


Record 7
Material: Ac8Rh3I4F
Method: DFT, PBE
State: optimized geometry

The total energy comes out at -5.102 eV/atom.

Geometry as CIF:
```
data_Ac8Rh3I4F
_chemical_formula_sum 'Ac16 Rh6 I8 F2'
_cell_length_a 15.061
_cell_length_b 8.695
_cell_length_c 10.089
_cell_angle_alpha 90.00
_cell_angle_beta 119.89
_cell_angle_gamma 90.00
_space_group_name_H-M_alt 'C 1 2/m 1'
_space_group_IT_number 12
loop_
_space_group_symop_operation_xyz
'x,y,z'
'-x,-y,-z'
'-x,y,-z'
'x,-y,z'
'x+1/2,y+1/2,z'
'-x+1/2,-y+1/2,-z'
'-x+1/2,y+1/2,-z'
'x+1/2,-y+1/2,z'
loop_
_atom_site_label
_atom_site_fract_x
_atom_site_fract_y
_atom_site_fract_z
Ac1 0.023 0.242 0.312
Ac2 0.228 0.000 0.682
Ac3 0.234 0.500 0.687
Rh1 0.000 0.000 0.500
Rh2 0.250 0.250 0.500
I1 0.000 0.000 0.000
I2 0.000 0.500 0.000
I3 0.250 0.250 0.000
F1 0.000 0.500 0.500
```


Record 8
Material: Ac8Ru3I4F
Method: DFT, PBE
State: optimized geometry

The total energy comes out at -5.274 eV/atom.

Geometry as CIF:
```
data_Ac8Ru3I4F
_chemical_formula_sum 'Ac16 Ru6 I8 F2'
_cell_length_a 15.006
_cell_length_b 8.636
_cell_length_c 10.018
_cell_angle_alpha 90.00
_cell_angle_beta 119.98
_cell_angle_gamma 90.00
_space_group_name_H-M_alt 'C 1 2/m 1'
_space_group_IT_number 12
loop_
_space_group_symop_operation_xyz
'x,y,z'
'-x,-y,-z'
'-x,y,-z'
'x,-y,z'
'x+1/2,y+1/2,z'
'-x+1/2,-y+1/2,-z'
'-x+1/2,y+1/2,-z'
'x+1/2,-y+1/2,z'
loop_
_atom_site_label
_atom_site_fract_x
_atom_site_fract_y
_atom_site_fract_z
Ac1 0.024 0.244 0.316
Ac2 0.229 0.000 0.688
Ac3 0.234 0.500 0.685
Ru1 0.000 0.000 0.500
Ru2 0.250 0.250 0.500
I1 0.000 0.000 0.000
I2 0.000 0.500 0.000
I3 0.250 0.250 0.000
F1 0.000 0.500 0.500
```


Record 9
Material: Ac2SIF2
Method: DFT, PBE
State: optimized geometry

The total energy comes out at -5.728 eV/atom.

Geometry as CIF:
```
data_Ac2SIF2
_chemical_formula_sum 'Ac2 S1 I1 F2'
_cell_length_a 4.3392
_cell_length_b 4.3392
_cell_length_c 9.0573
_cell_angle_alpha 90.00
_cell_angle_beta 90.00
_cell_angle_gamma 120.00
_space_group_name_H-M_alt 'P -3 m 1'
_space_group_IT_number 164
_space_group_name_Hall '-P 3 2"'
loop_
_atom_site_label
_atom_site_fract_x
_atom_site_fract_y
_atom_site_fract_z
Ac1 0.3333 0.6667 0.2032
S1 0.0000 0.0000 0.0000
I1 0.0000 0.0000 0.5000
F1 0.3333 0.6667 0.7565
```


Record 10
Material: Ac2S2IF2
Method: DFT, PBE
State: optimized geometry

The total energy comes out at -5.556 eV/atom.

Geometry as CIF:
```
data_Ac2S2IF2
_chemical_formula_sum 'Ac6 S6 I3 F6'
_cell_length_a 4.5677
_cell_length_b 4.5677
_cell_length_c 29.3827
_cell_angle_alpha 90.00
_cell_angle_beta 90.00
_cell_angle_gamma 120.00
_space_group_name_H-M_alt 'R -3 m'
_space_group_IT_number 166
_space_group_name_Hall '-R 3 2"'
loop_
_atom_site_label
_atom_site_fract_x
_atom_site_fract_y
_atom_site_fract_z
Ac1 0.0000 0.0000 0.2419
S1 0.0000 0.0000 0.1405
I1 0.0000 0.0000 0.0000
F1 0.0000 0.0000 0.4123
```


Record 11
Material: Ac2SeIF2
Method: DFT, PBE
State: optimized geometry

The total energy comes out at -5.582 eV/atom.

Geometry as CIF:
```
data_Ac2SeIF2
_chemical_formula_sum 'Ac2 Se1 I1 F2'
_cell_length_a 4.3709
_cell_length_b 4.3709
_cell_length_c 9.2830
_cell_angle_alpha 90.00
_cell_angle_beta 90.00
_cell_angle_gamma 120.00
_space_group_name_H-M_alt 'P -3 m 1'
_space_group_IT_number 164
_space_group_name_Hall '-P 3 2"'
loop_
_atom_site_label
_atom_site_fract_x
_atom_site_fract_y
_atom_site_fract_z
Ac1 0.3333 0.6667 0.2114
Se1 0.0000 0.0000 0.0000
I1 0.0000 0.0000 0.5000
F1 0.3333 0.6667 0.7510
```


Record 12
Material: Ac2TeIF2
Method: DFT, PBE
State: optimized geometry

The total energy comes out at -5.391 eV/atom.

Geometry as CIF:
```
data_Ac2TeIF2
_chemical_formula_sum 'Ac2 Te1 I1 F2'
_cell_length_a 4.4155
_cell_length_b 4.4155
_cell_length_c 9.7353
_cell_angle_alpha 90.00
_cell_angle_beta 90.00
_cell_angle_gamma 120.00
_space_group_name_H-M_alt 'P -3 m 1'
_space_group_IT_number 164
_space_group_name_Hall '-P 3 2"'
loop_
_atom_site_label
_atom_site_fract_x
_atom_site_fract_y
_atom_site_fract_z
Ac1 0.3333 0.6667 0.2253
Te1 0.0000 0.0000 0.0000
I1 0.0000 0.0000 0.5000
F1 0.3333 0.6667 0.7411
```


Record 13
Material: AcThI2F6
Method: DFT, PBE
State: optimized geometry

The total energy comes out at -5.781 eV/atom.

Geometry as CIF:
```
data_AcThI2F6
_chemical_formula_sum 'Ac3 Th3 I6 F18'
_cell_length_a 6.7875
_cell_length_b 6.7875
_cell_length_c 16.6733
_cell_angle_alpha 90.00
_cell_angle_beta 90.00
_cell_angle_gamma 120.00
_space_group_name_H-M_alt 'R -3 m'
_space_group_IT_number 166
_space_group_name_Hall '-R 3 2"'
loop_
_atom_site_label
_atom_site_fract_x
_atom_site_fract_y
_atom_site_fract_z
Ac1 0.0000 0.0000 0.0000
Th1 0.0000 0.0000 0.5000
I1 0.0000 0.0000 0.2501
F1 0.0166 0.5083 0.2458
```


Record 14
Material: Ac2InF
Method: DFT, PBE
State: optimized geometry

The total energy comes out at -4.168 eV/atom.

Geometry as CIF:
```
data_Ac2InF
_chemical_formula_sum 'Ac6 In3 F3'
_cell_length_a 3.9766
_cell_length_b 3.9766
_cell_length_c 30.0913
_cell_angle_alpha 90.00
_cell_angle_beta 90.00
_cell_angle_gamma 120.00
_space_group_name_H-M_alt 'R -3 m'
_space_group_IT_number 166
_space_group_name_Hall '-R 3 2"'
loop_
_atom_site_label
_atom_site_fract_x
_atom_site_fract_y
_atom_site_fract_z
Ac1 0.0000 0.0000 0.1125
In1 0.0000 0.0000 0.0000
F1 0.0000 0.0000 0.5000
```


Record 15
Material: Ac3In5F12
Method: DFT, PBE
State: optimized geometry

The total energy comes out at -5.073 eV/atom.

Geometry as CIF:
```
data_Ac3In5F12
_chemical_formula_sum 'Ac24 In40 F96'
_cell_length_a 15.055
_cell_length_b 15.055
_cell_length_c 15.055
_cell_angle_alpha 90.00
_cell_angle_beta 90.00
_cell_angle_gamma 90.00
_space_group_name_H-M_alt 'I a -3 d'
_space_group_IT_number 230
_space_group_name_Hall '-I 4bd 2c 3'
loop_
_atom_site_label
_atom_site_fract_x
_atom_site_fract_y
_atom_site_fract_z
Ac1 0.000 0.250 0.125
In1 0.000 0.000 0.000
In2 0.000 0.250 0.375
F1 0.007 0.085 0.655
```


Record 16
Material: AcIn3F8
Method: DFT, PBE
State: optimized geometry

The total energy comes out at -4.800 eV/atom.

Geometry as CIF:
```
data_AcIn3F8
_chemical_formula_sum 'Ac1 In3 F8'
_cell_length_a 5.1571
_cell_length_b 5.1571
_cell_length_c 8.4931
_cell_angle_alpha 90.00
_cell_angle_beta 90.00
_cell_angle_gamma 120.00
_space_group_name_H-M_alt 'P -3'
_space_group_IT_number 147
loop_
_space_group_symop_operation_xyz
'x,y,z'
'-x,-y,-z'
'-y,x-y,z'
'y,-x+y,-z'
'-x+y,-x,z'
'x-y,x,-z'
loop_
_atom_site_label
_atom_site_fract_x
_atom_site_fract_y
_atom_site_fract_z
Ac1 0.0000 0.0000 0.0000
In1 0.0000 0.0000 0.5000
In2 0.3333 0.6667 0.3086
F1 0.0609 0.3198 0.7541
F2 0.3333 0.6667 0.0517
```


Record 17
Material: AcIn2F11
Method: DFT, PBE
State: optimized geometry

The total energy comes out at -4.687 eV/atom.

Geometry as CIF:
```
data_AcIn2F11
_chemical_formula_sum 'Ac4 In8 F44'
_cell_length_a 8.194
_cell_length_b 10.412
_cell_length_c 11.815
_cell_angle_alpha 90.00
_cell_angle_beta 90.00
_cell_angle_gamma 90.00
_space_group_name_H-M_alt 'I b a m'
_space_group_IT_number 72
_space_group_name_Hall '-I 2 2c'
loop_
_atom_site_label
_atom_site_fract_x
_atom_site_fract_y
_atom_site_fract_z
Ac1 0.000 0.000 0.250
In1 0.163 0.307 0.000
F1 0.000 0.500 0.000
F2 0.103 0.308 0.500
F3 0.112 0.179 0.132
F4 0.224 0.082 0.376
```


Record 18
Material: Ac2InF
Method: DFT, PBE
State: optimized geometry

The total energy comes out at -4.334 eV/atom.

Geometry as CIF:
```
data_Ac2InF
_chemical_formula_sum 'Ac2 In1 F1'
_cell_length_a 3.697
_cell_length_b 3.697
_cell_length_c 8.370
_cell_angle_alpha 90.00
_cell_angle_beta 90.00
_cell_angle_gamma 90.00
_space_group_name_H-M_alt 'P 4/m m m'
_space_group_IT_number 123
_space_group_name_Hall '-P 4 2'
loop_
_atom_site_label
_atom_site_fract_x
_atom_site_fract_y
_atom_site_fract_z
Ac1 0.000 0.000 0.235
In1 0.500 0.500 0.500
F1 0.500 0.500 0.000
```


Record 19
Material: AcInF
Method: DFT, PBE
State: optimized geometry

The total energy comes out at -4.445 eV/atom.

Geometry as CIF:
```
data_AcInF
_chemical_formula_sum 'Ac2 In2 F2'
_cell_length_a 3.660
_cell_length_b 3.660
_cell_length_c 12.584
_cell_angle_alpha 90.00
_cell_angle_beta 90.00
_cell_angle_gamma 90.00
_space_group_name_H-M_alt 'I 4 m m'
_space_group_IT_number 107
_space_group_name_Hall 'I 4 -2'
loop_
_atom_site_label
_atom_site_fract_x
_atom_site_fract_y
_atom_site_fract_z
Ac1 0.000 0.000 0.000
In1 0.000 0.000 0.281
F1 0.000 0.000 0.539
```


| no. | formation energy (no corrections) (meV per atom) | total magnetic moment (μB per cell) |
| --- | --- | --- |
| 1 | -1205 | 0.00 |
| 2 | -2209 | 0.00 |
| 3 | -2927 | 0.00 |
| 4 | -2439 | 0.00 |
| 5 | -1138 | 0.00 |
| 6 | -1031 | 0.00 |
| 7 | -1165 | 0.00 |
| 8 | -976 | 0.00 |
| 9 | -2788 | 0.02 |
| 10 | -2447 | 3.04 |
| 11 | -2749 | 0.00 |
| 12 | -2616 | 0.00 |
| 13 | -3196 | 3.28 |
| 14 | -961 | 0.00 |
| 15 | -2649 | 9.14 |
| 16 | -2526 | 0.00 |
| 17 | -2532 | 8.68 |
| 18 | -1128 | 0.00 |
| 19 | -1539 | 0.00 |